Here is a relaxed structure of Tb2Dy3Ho7 from Alexandria via LeMat-Bulk. Energies are from PBE-GGA.

Structure (POSCAR):
```
Tb2Dy3Ho7
1.0
-0.4752 -0.7174 3.4630
-1.4131 -5.3086 -1.2937
18.6523 -2.4644 2.0488
Ho Dy Tb
7 3 2
Cartesian
2.3348 -1.0924 1.9325 Ho
14.4292 -7.3979 2.2857 Ho
0.0000 0.0000 0.0000 Ho
2.5691 -3.5886 -0.3909 Ho
8.9559 -5.4103 0.1080 Ho
14.6701 -4.1843 1.1461 Ho
8.2833 -2.3626 0.6471 Ho
5.6946 -4.9066 1.6033 Dy
11.0694 -3.5838 2.6148 Dy
-0.9441 -3.0130 1.0847 Dy
5.2890 -1.5086 0.4132 Tb
11.9502 -6.2643 0.3420 Tb
```

Output
- energy (eV/atom) = -4.481
- formation enthalpy at 0 K (eV per atom) = 0.111
- symmetry = No. 65


Here is a relaxed structure of GaNi7Sn2P2 from Alexandria via LeMat-Bulk. Energies are from PBE-GGA.

Structure (POSCAR):
```
GaNi7Sn2P2
1.0
3.5738 -0.0013 0.0049
0.0030 3.5738 0.0049
1.7599 1.7578 14.0541
Sn Ni Ga P
2 7 1 2
Cartesian
3.5646 3.5603 5.9375 Sn
1.7721 1.7699 8.1263 Sn
1.7884 1.7862 0.0049 Ni
1.7777 1.7755 5.3166 Ni
3.5697 1.7784 1.8519 Ni
3.5540 1.7627 12.2119 Ni
3.5590 3.5547 8.7473 Ni
1.7671 3.5518 12.2119 Ni
1.7827 3.5675 1.8519 Ni
0.0000 0.0000 0.0000 Ga
1.7821 1.7799 3.1315 P
3.5546 3.5503 10.9323 P
```

Output
- energy (eV/atom) = -5.496
- formation enthalpy at 0 K (eV per atom) = -0.303
- symmetry = No. 139


Here is a relaxed structure of Na4Th3ScTe8 from Alexandria via LeMat-Bulk. Energies are from PBE-GGA.

Structure (POSCAR):
```
Na4Th3ScTe8
1.0
-3.7765 7.8548 -0.2436
-4.0310 -2.1884 -8.0688
-1.3386 -5.2712 6.8162
Te Na Th Sc
8 4 3 1
Cartesian
-7.1742 -0.8993 0.6821 Te
-2.6251 -1.2210 1.3259 Te
-4.5023 -2.2500 -2.7521 Te
-4.6439 2.6453 1.2559 Te
-1.9720 1.2946 -2.1783 Te
-6.5210 1.6163 -2.8221 Te
-5.2006 -5.0042 0.8094 Te
-3.9455 5.3994 -2.3056 Te
-2.5576 1.2918 3.2863 Na
-0.6693 -2.6356 3.4081 Na
-1.8883 3.9274 -0.1218 Na
0.0000 0.0000 0.0000 Na
-4.5731 0.1976 -0.7481 Th
-3.9038 2.8332 -4.1562 Th
-2.6848 -3.7298 -0.6263 Th
-2.0155 -1.0942 -4.0344 Sc
```

Output
- energy (eV/atom) = -4.801
- symmetry = No. 166